# 1
A relaxed BaZnCuAu3 crystal. Source: Alexandria via LeMat-Bulk, functional PBE.

volume = 142.5 Å³/f.u.
formation enthalpy at 0 K = -303 meV/atom
symmetry = Cmcm, No. 63
total DFT energy (no corrections) = -3.157 eV/atom

a b c (Å): 7.1474 7.1474 6.5181
angles (deg): 90.00 90.00 121.14
Fractional positions:
Ba 0.2192 0.7808 0.7500
Ba 0.7808 0.2192 0.2500
Zn 0.1089 0.8911 0.2500
Zn 0.8911 0.1089 0.7500
Cu 0.4818 0.5182 0.7500
Cu 0.5182 0.4818 0.2500
Au 0.2200 0.2200 0.0000
Au 0.2200 0.2200 0.5000
Au 0.3131 0.6869 0.2500
Au 0.6869 0.3131 0.7500
Au 0.7800 0.7800 0.0000
Au 0.7800 0.7800 0.5000



# 2
A relaxed Nb2AlBr2 crystal. Source: Alexandria via LeMat-Bulk, functional PBE.

energy relative to the elements, uncorrected = 211 kJ/mol of formula units
volume = 109.6 Å³/f.u.
symmetry = I4/mmm, No. 139
total DFT energy (no corrections) = -5.009 eV/atom

a b c (Å): 6.8494 6.8494 6.8494
angles (deg): 144.16 144.16 51.59
Fractional positions:
Nb 0.1029 0.1029 0.0000
Nb 0.8971 0.8971 0.0000
Al 0.5000 0.5000 0.0000
Br 0.2500 0.7500 0.5000
Br 0.7500 0.2500 0.5000



# 3
A relaxed SnTeSe2 crystal. Source: Alexandria via LeMat-Bulk, functional PBE.

energy relative to the elements, uncorrected = 56 kJ/mol of formula units
volume = 120.8 Å³/f.u.
symmetry = R-3m, No. 166
total DFT energy (no corrections) = -3.383 eV/atom

a b c (Å): 9.7177 9.7177 9.7177
angles (deg): 22.78 22.78 22.78
Fractional positions:
Sn 0.0000 0.0000 0.0000
Te 0.5000 0.5000 0.5000
Se 0.1021 0.1021 0.1021
Se 0.8979 0.8979 0.8979



# 4
A relaxed Tm2LuS crystal. Source: Alexandria via LeMat-Bulk, functional PBE.

energy relative to the elements, uncorrected = -261 kJ/mol of formula units
volume = 109.3 Å³/f.u.
symmetry = R-3m, No. 166
total DFT energy (no corrections) = -5.075 eV/atom

a b c (Å): 10.0797 10.0797 10.0797
angles (deg): 20.44 20.44 20.44
Fractional positions:
Tm 0.1109 0.1109 0.1109
Tm 0.8891 0.8891 0.8891
Lu 0.0000 0.0000 0.0000
S 0.5000 0.5000 0.5000



# 5
A relaxed CsNaMn2I8 crystal. Source: Alexandria via LeMat-Bulk, functional PBE.

energy relative to the elements, uncorrected = -752 kJ/mol of formula units
volume = 528.5 Å³/f.u.
symmetry = P-3, No. 147
total DFT energy (no corrections) = -3.392 eV/atom

a b c (Å): 7.4982 7.4982 10.8547
angles (deg): 90.00 90.00 120.00
Fractional positions:
Cs 0.0000 0.0000 0.0000
Na 0.0000 0.0000 0.5000
Mn 0.3333 0.6667 0.7550
Mn 0.6667 0.3333 0.2450
I 0.0026 0.6614 0.3140
I 0.3333 0.6667 0.9937
I 0.3386 0.3412 0.3140
I 0.3412 0.0026 0.6860
I 0.6588 0.9974 0.3140
I 0.6614 0.6588 0.6860
I 0.6667 0.3333 0.0063
I 0.9974 0.3386 0.6860



# 6
A relaxed LaNiC2 crystal. Source: Alexandria via LeMat-Bulk, functional PBE.

volume = 55.7 Å³/f.u.
formation enthalpy at 0 K = 420 meV/atom
symmetry = I-42d, No. 122
total DFT energy (no corrections) = -6.870 eV/atom

a b c (Å): 6.9330 6.9330 6.9330
angles (deg): 144.58 144.58 50.97
Fractional positions:
La 0.0000 0.0000 0.0000
La 0.7500 0.2500 0.5000
Ni 0.2500 0.7500 0.5000
Ni 0.5000 0.5000 0.0000
C 0.3713 0.6250 0.2463
C 0.3750 0.6213 0.7463
C 0.3787 0.1250 0.7537
C 0.8750 0.6287 0.2537



# 7
A relaxed AcTh5Bi6 crystal. Source: Alexandria via LeMat-Bulk, functional PBE.

volume = 423.4 Å³/f.u.
formation enthalpy at 0 K = -623 meV/atom
symmetry = C2/m, No. 12
total DFT energy (no corrections) = -5.998 eV/atom

a b c (Å): 8.0276 8.0276 8.0502
angles (deg): 99.58 99.58 120.06
Fractional positions:
Ac 0.0000 0.0000 0.0000
Th 0.1603 0.8397 0.5000
Th 0.3315 0.6685 0.0000
Th 0.5000 0.5000 0.5000
Th 0.6685 0.3315 0.0000
Th 0.8397 0.1603 0.5000
Bi 0.0866 0.4286 0.2576
Bi 0.2603 0.2603 0.7509
Bi 0.4286 0.0866 0.2576
Bi 0.5714 0.9134 0.7424
Bi 0.7397 0.7397 0.2491
Bi 0.9134 0.5714 0.7424



# 8
A relaxed Er6Tl3Tc crystal. Source: Alexandria via LeMat-Bulk, functional PBE.

volume = 290.5 Å³/f.u.
formation enthalpy at 0 K = -61 meV/atom
symmetry = C2/m, No. 12
total DFT energy (no corrections) = -4.545 eV/atom

a b c (Å): 6.7150 6.7150 7.4198
angles (deg): 101.27 101.27 63.13
Fractional positions:
Er 0.1316 0.6445 0.6524
Er 0.3355 0.3355 0.1561
Er 0.3555 0.8684 0.3476
Er 0.6445 0.1316 0.6524
Er 0.6645 0.6645 0.8439
Er 0.8684 0.3555 0.3476
Tl 0.0000 0.0000 0.0000
Tl 0.1740 0.1740 0.7331
Tl 0.8260 0.8260 0.2669
Tc 0.5000 0.5000 0.5000



# 9
A relaxed CdOsAu2 crystal. Source: Alexandria via LeMat-Bulk, functional PBE.

volume = 69.1 Å³/f.u.
formation enthalpy at 0 K = 393 meV/atom
symmetry = Cmmm, No. 65
total DFT energy (no corrections) = -4.282 eV/atom

a b c (Å): 5.1417 5.1417 2.7935
angles (deg): 90.00 90.00 110.58
Fractional positions:
Cd 0.0000 0.0000 0.0000
Os 0.5000 0.5000 0.0000
Au 0.0000 0.5000 0.5000
Au 0.5000 0.0000 0.5000



# 10
A relaxed BeMoIr2 crystal. Source: Alexandria via LeMat-Bulk, functional PBE.

volume = 55.5 Å³/f.u.
formation enthalpy at 0 K = -109 meV/atom
symmetry = Cmmm, No. 65
total DFT energy (no corrections) = -8.179 eV/atom

a b c (Å): 4.5453 4.5453 2.7749
angles (deg): 90.00 90.00 104.48
Fractional positions:
Be 0.0000 0.0000 0.0000
Mo 0.5000 0.5000 0.0000
Ir 0.0000 0.5000 0.5000
Ir 0.5000 0.0000 0.5000



# 11
A relaxed LaCoMo2 crystal. Source: Alexandria via LeMat-Bulk, functional PBE.

volume = 75.7 Å³/f.u.
formation enthalpy at 0 K = 437 meV/atom
symmetry = P4/mmm, No. 123
total DFT energy (no corrections) = -7.987 eV/atom

a b c (Å): 3.2591 3.2591 7.1296
angles (deg): 90.00 90.00 90.00
Fractional positions:
La 0.0000 0.0000 0.0000
Co 0.0000 0.0000 0.5000
Mo 0.5000 0.5000 0.3353
Mo 0.5000 0.5000 0.6647



# 12
A relaxed SrPrSiAu crystal. Source: Alexandria via LeMat-Bulk, functional PBE.

energy relative to the elements, uncorrected = -216 kJ/mol of formula units
volume = 106.7 Å³/f.u.
symmetry = F-43m, No. 216
total DFT energy (no corrections) = -4.351 eV/atom

a b c (Å): 5.3243 5.3243 5.3243
angles (deg): 60.00 60.00 60.00
Fractional positions:
Sr 0.0000 0.0000 0.0000
Pr 0.5000 0.5000 0.5000
Si 0.7500 0.7500 0.7500
Au 0.2500 0.2500 0.2500



Which formula does entry 2 have?
Nb2AlBr2